(1)
Entry from the Alexandria database: a relaxed Ca2TlBiBr8 crystal (PBE-GGA).

Magnetic moment: 0.00 μB per formula unit
Calculated total energy: -3.33 eV/atom
Symmetry: P2/m (10)

Cell and atoms, written as CIF:
```
data_Ca2TlBiBr8
_cell_length_a 6.7809
_cell_length_b 9.0999
_cell_length_c 7.1272
_cell_angle_alpha 90.00
_cell_angle_beta 90.14
_cell_angle_gamma 90.00
_space_group_name_H-M_alt 'P 1'
_space_group_IT_number 1
_space_group_name_Hall 'P 1'
loop_
_atom_site_label
_atom_site_fract_x
_atom_site_fract_y
_atom_site_fract_z
Ca1 0.0000 0.2460 0.0000
Ca2 0.0000 0.7540 0.0000
Tl1 0.5000 0.0000 0.5000
Bi1 0.5000 0.5000 0.5000
Br1 0.2272 0.0000 0.8688
Br2 0.2434 0.5000 0.8378
Br3 0.2480 0.2796 0.3372
Br4 0.2480 0.7204 0.3372
Br5 0.7520 0.2796 0.6628
Br6 0.7520 0.7204 0.6628
Br7 0.7566 0.5000 0.1622
Br8 0.7728 0.0000 0.1312
```


(2)
Entry from the Alexandria database: a relaxed CaTa2Al crystal (PBE-GGA).

Magnetic moment: 0.00 μB per formula unit
Calculated total energy: -6.91 eV/atom
Calculated formation energy: 455 meV/atom
Symmetry: Imm2 (44)

Cell and atoms, written as CIF:
```
data_CaTa2Al
_cell_length_a 3.0843
_cell_length_b 5.2872
_cell_length_c 10.2824
_cell_angle_alpha 90.00
_cell_angle_beta 90.00
_cell_angle_gamma 90.00
_space_group_name_H-M_alt 'P 1'
_space_group_IT_number 1
_space_group_name_Hall 'P 1'
loop_
_atom_site_label
_atom_site_fract_x
_atom_site_fract_y
_atom_site_fract_z
Ca1 0.0000 0.0000 0.0000
Ca2 0.5000 0.5000 0.5000
Ta1 0.0000 0.0000 0.4998
Ta2 0.0000 0.5000 0.7812
Ta3 0.5000 0.0000 0.2812
Ta4 0.5000 0.5000 0.9998
Al1 0.0000 0.5000 0.2308
Al2 0.5000 0.0000 0.7308
```


(3)
Entry from the Alexandria database: a relaxed Al4FeCo3 crystal (PBE-GGA).

Magnetic moment: 0.22 μB per formula unit
Calculated total energy: -6.14 eV/atom
Calculated formation energy: -546 meV/atom
Symmetry: P4/mmm (123)

Cell and atoms, written as CIF:
```
data_Al4FeCo3
_cell_length_a 2.8543
_cell_length_b 2.8543
_cell_length_c 11.4237
_cell_angle_alpha 90.00
_cell_angle_beta 90.00
_cell_angle_gamma 90.00
_space_group_name_H-M_alt 'P 1'
_space_group_IT_number 1
_space_group_name_Hall 'P 1'
loop_
_atom_site_label
_atom_site_fract_x
_atom_site_fract_y
_atom_site_fract_z
Al1 0.0000 0.0000 0.1230
Al2 0.0000 0.0000 0.3745
Al3 0.0000 0.0000 0.6255
Al4 0.0000 0.0000 0.8770
Fe1 0.5000 0.5000 0.0000
Co1 0.5000 0.5000 0.2516
Co2 0.5000 0.5000 0.5000
Co3 0.5000 0.5000 0.7484
```


(4)
Entry from the Alexandria database: a relaxed La4Ir2Se crystal (PBE-GGA).

Magnetic moment: 0.00 μB per formula unit
Calculated total energy: -6.90 eV/atom
Symmetry: R-3m (166)

Cell and atoms, written as CIF:
```
data_La4Ir2Se
_cell_length_a 13.9914
_cell_length_b 13.9914
_cell_length_c 13.9914
_cell_angle_alpha 17.42
_cell_angle_beta 17.42
_cell_angle_gamma 17.42
_space_group_name_H-M_alt 'P 1'
_space_group_IT_number 1
_space_group_name_Hall 'P 1'
loop_
_atom_site_label
_atom_site_fract_x
_atom_site_fract_y
_atom_site_fract_z
La1 0.1240 0.1240 0.1240
La2 0.2849 0.2849 0.2849
La3 0.7151 0.7151 0.7151
La4 0.8760 0.8760 0.8760
Ir1 0.4223 0.4223 0.4223
Ir2 0.5777 0.5777 0.5777
Se1 0.0000 0.0000 0.0000
```